Entry P
# PBE Hf4Nb2Pt, optimized geometry
# - V: 21.1 Å³/atom
# - D(E_F): 18.86 states/eV per cell
# - Magnetization: 0.00 μB per cell
data_Hf4Nb2Pt
_cell_length_a 4.641
_cell_length_b 4.641
_cell_length_c 13.719
_cell_angle_alpha 90.00
_cell_angle_beta 90.00
_cell_angle_gamma 90.00
_space_group_name_H-M_alt 'I 4/m m m'
_space_group_IT_number 139
_space_group_name_Hall '-I 4 2'
loop_
_atom_site_label
_atom_site_fract_x
_atom_site_fract_y
_atom_site_fract_z
Hf1 0.000 0.500 0.119
Nb1 0.000 0.000 0.248
Pt1 0.000 0.000 0.000

=====

Entry Q
# PBE Hf4Nb2Pt, optimized geometry
# - V: 24.7 Å³/atom
# - D(E_F): 18.99 states/eV per cell
# - Magnetization: 0.00 μB per cell
data_Hf4Nb2Pt
_cell_length_a 5.096
_cell_length_b 5.096
_cell_length_c 13.310
_cell_angle_alpha 90.00
_cell_angle_beta 90.00
_cell_angle_gamma 90.00
_space_group_name_H-M_alt 'I 4/m m m'
_space_group_IT_number 139
_space_group_name_Hall '-I 4 2'
loop_
_atom_site_label
_atom_site_fract_x
_atom_site_fract_y
_atom_site_fract_z
Hf1 0.000 0.000 0.196
Hf2 0.000 0.500 0.000
Nb1 0.000 0.000 0.399
Pt1 0.000 0.000 0.000

=====

Of them, entry P has the highest stability.